Compound: AcIn2AgAu2
Source: the Alexandria database
Functional: PBE
Structure: optimized geometry

a b c (Å): 5.468 5.468 11.714
angles (deg): 90.00 90.00 90.00
Space group I4/mmm (No. 139)
Asymmetric unit:
Ac  0.000  0.000  0.000 [2 per cell]
In  0.000  0.500  0.250 [4 per cell]
Ag  0.000  0.000  0.500 [2 per cell]
Au  0.000  0.000  0.269 [4 per cell]

## Properties
- Uncorrected energy: -3.301 eV per atom
- DFT formation energy: -0.135 eV per atom



Compound: Ac4AgIrAu2
Source: the Alexandria database
Functional: PBE
Structure: optimized geometry

a b c (Å): 7.816 4.465 7.895
angles (deg): 90.00 108.67 90.00
Space group P2/m (No. 10)
Asymmetric unit:
Ac  0.230  0.000  0.226 [2 per cell]
Ac  0.241  0.500  0.768 [2 per cell]
Ag  0.000  0.000  0.500 [1 per cell]
Ir  0.000  0.500  0.000 [1 per cell]
Au  0.500  0.000  0.000 [1 per cell]
Au  0.500  0.500  0.500 [1 per cell]

## Properties
- Uncorrected energy: -4.971 eV per atom
- DFT formation energy: -0.634 eV per atom



Compound: Ac3AgIrAu
Source: the Alexandria database
Functional: PBE
Structure: optimized geometry

a b c (Å): 9.411 4.438 9.707
angles (deg): 90.00 107.30 90.00
Space group P2_1/m (No. 11)
Asymmetric unit:
Ac  0.058  0.250  0.357 [2 per cell]
Ac  0.209  0.250  0.989 [2 per cell]
Ac  0.389  0.750  0.671 [2 per cell]
Ag  0.301  0.750  0.284 [2 per cell]
Ir  0.172  0.250  0.675 [2 per cell]
Au  0.466  0.750  0.079 [2 per cell]

## Properties
- Uncorrected energy: -5.124 eV per atom
- DFT formation energy: -0.572 eV per atom



Compound: Ac6Ag3Ir2Au
Source: the Alexandria database
Functional: PBE
Structure: optimized geometry

a b c (Å): 7.785 13.379 7.971
angles (deg): 90.00 108.50 90.00
Space group C2/m (No. 12)
Asymmetric unit:
Ac  0.217  0.000  0.213 [4 per cell]
Ac  0.248  0.177  0.775 [8 per cell]
Ag  0.000  0.000  0.500 [2 per cell]
Ag  0.000  0.348  0.500 [4 per cell]
Ir  0.000  0.169  0.000 [4 per cell]
Au  0.000  0.500  0.000 [2 per cell]

## Properties
- Uncorrected energy: -5.024 eV per atom
- DFT formation energy: -0.507 eV per atom